1.
Density functional theory data (GGA-PBE) for a relaxed CoOsW2 crystal.

## Properties
- calculated density (Mg/m³) = 17.6
- DOS at the Fermi energy (states/eV/cell) = 6.68
- energy above the lowest structure with this stoichiometry (eV per formula unit) = 0.92

Lattice parameters (Å, degrees): 4.3536 4.3536 4.3536 60.00 60.00 60.00
With the nearest neighbours (Å) after each atom.
Sites, in units of the cell vectors:
Co 0.5000 0.5000 0.5000  4 Os 2.67, 4 W 2.67
Os 0.7500 0.7500 0.7500  4 Co 2.67, 4 W 2.67
W 0.0000 0.0000 0.0000  4 W 2.67, 4 Os 2.67
W 0.2500 0.2500 0.2500  4 Co 2.67, 4 W 2.67

***

2.
Density functional theory data (GGA-PBE) for a relaxed CoOs2W crystal.

## Properties
- calculated density (Mg/m³) = 17.9
- DOS at the Fermi energy (states/eV/cell) = 5.27
- energy above the lowest structure with this stoichiometry (eV per formula unit) = 1.76

Lattice parameters (Å, degrees): 2.6800 2.6800 8.7865 90.00 90.00 113.92
With the nearest neighbours (Å) after each atom.
Sites, in units of the cell vectors:
W 0.5000 0.5000 0.2500  6 W 2.68-2.92, 4 Os 2.70
Os 0.0000 0.0000 0.5086  2 Co 2.58, 4 Os 2.68, 2 W 2.70
Os 0.0000 0.0000 0.9914  2 Co 2.58, 4 Os 2.68, 2 W 2.70
Co 0.5000 0.5000 0.7500  4 Os 2.58, 4 Co 2.68

***

3.
Density functional theory data (GGA-PBE) for a relaxed CoOs2W crystal.

## Properties
- calculated density (Mg/m³) = 18.1
- DOS at the Fermi energy (states/eV/cell) = 5.22
- energy above the lowest structure with this stoichiometry (eV per formula unit) = 1.68

Lattice parameters (Å, degrees): 2.7955 4.5294 4.5099 90.00 90.00 90.00
With the nearest neighbours (Å) after each atom.
Sites, in units of the cell vectors:
W 0.5000 0.0000 0.5000  4 Os 2.65, 4 Co 2.66, 2 W 2.80
Os 0.0000 0.0000 0.0000  4 W 2.65, 6 Os 2.66-2.80
Os 0.5000 0.5000 0.0000  4 Co 2.65, 6 Os 2.66-2.80
Co 0.0000 0.5000 0.5000  4 Os 2.65, 4 W 2.66, 2 Co 2.80